(1)
Crystalline Re2IrRuF at its relaxed geometry. Source: Alexandria, functional PBE.

DFT total energy ... -6.891 eV/atom
Raw formation energy ... 2089 meV per atom

Unit cell a=4.7105 b=4.7105 c=4.6926 alpha=90.00 beta=90.00 gamma=90.00
Atoms (fractional coordinates):
Re  0.0000  0.5000  0.0000
Re  0.5000  0.0000  0.0000
Ir  0.0000  0.0000  0.5000
Ru  0.0000  0.0000  0.0000
F  0.5000  0.5000  0.5000

***

(2)
Crystalline ReSnIr2F at its relaxed geometry. Source: Alexandria, functional PBE.

DFT total energy ... -6.005 eV/atom
Raw formation energy ... 1204 meV per atom

Unit cell a=4.9318 b=4.9318 c=3.9905 alpha=90.00 beta=90.00 gamma=90.00
Atoms (fractional coordinates):
Re  0.0000  0.0000  0.0000
Sn  0.5000  0.5000  0.5000
Ir  0.0000  0.5000  0.5000
Ir  0.5000  0.0000  0.5000
F  0.5000  0.5000  0.0000

***

(3)
Crystalline Re2TcIrF at its relaxed geometry. Source: Alexandria, functional PBE.

DFT total energy ... -7.945 eV/atom
Raw formation energy ... 1254 meV per atom

Unit cell a=4.7102 b=4.7102 c=3.7744 alpha=90.00 beta=90.00 gamma=90.00
Atoms (fractional coordinates):
Re  0.0000  0.5000  0.0000
Re  0.5000  0.0000  0.0000
Tc  0.0000  0.0000  0.0000
Ir  0.5000  0.5000  0.5000
F  0.0000  0.0000  0.5000

***

Number 1: D(E_F) 0.985 states/eV/atom. Number 2: D(E_F) 0.583 states/eV/atom. Number 3: D(E_F) 1.504 states/eV/atom.